Record 1
VASP calculation (PBE) on a relaxed TbMgCoRu crystal.

Lattice parameters (Å, degrees): 6.4762 6.4762 6.4762 90.00 90.00 90.00
Closest atoms and distances in Å follow each position.
Space group F-43m (No. 216)
Asymmetric unit:
Tb: 0.0000 0.0000 0.0000 [4 per cell]  4 Co 2.80, 4 Ru 2.80
Mg: 0.0000 0.0000 0.5000 [4 per cell]  4 Ru 2.80, 4 Co 2.80
Co: 0.2500 0.2500 0.2500 [4 per cell]  4 Mg 2.80, 4 Tb 2.80
Ru: 0.2500 0.2500 0.7500 [4 per cell]  4 Tb 2.80, 4 Mg 2.80

E (eV per atom): -5.6455
N(E_F) (states/eV/atom): 1.1794
E_form (eV per atom): 0.01
Calculated density (g/cm³): 8.39



Record 2
VASP calculation (PBE) on a relaxed Ga3RhSe crystal.

Lattice parameters (Å, degrees): 4.7986 4.7986 4.7986 90.00 90.00 90.00
Closest atoms and distances in Å follow each position.
Space group Pm-3m (No. 221)
Asymmetric unit:
Ga: 0.0000 0.0000 0.5000 [3 per cell]  2 Rh 2.40
Rh: 0.0000 0.0000 0.0000 [1 per cell]  6 Ga 2.40
Se: 0.5000 0.5000 0.5000 [1 per cell]  12 Ga 3.39

E (eV per atom): -4.2094
N(E_F) (states/eV/atom): 0.3965
Formation energy without anion corrections (meV/atom): -226
Energy above the most stable polymorph in this dataset (eV per atom): 0.0000
Calculated density (g/cm³): 5.88



Record 3
VASP calculation (PBE) on a relaxed ScMn2Be crystal.

Lattice parameters (Å, degrees): 2.7868 3.9121 5.0235 90.00 102.14 90.00
Closest atoms and distances in Å follow each position.
Space group P2/m (No. 10)
Asymmetric unit:
Sc: 0.0000 0.0000 0.0000 [1 per cell]  2 Be 2.60, 4 Mn 2.72, 2 Sc 2.79
Mn: 0.3075 0.5000 0.6978 [2 per cell]  2 Be 2.31, 2 Mn 2.34-2.45
Be: 0.5000 0.0000 0.5000 [1 per cell]  4 Mn 2.31

E (eV per atom): -6.8795
N(E_F) (states/eV/atom): 0.9447
E_form (eV per atom): 0.22
Calculated density (g/cm³): 5.08



Record 4
VASP calculation (PBE) on a relaxed SrScMo4 crystal.

Lattice parameters (Å, degrees): 7.7935 7.7935 7.7935 90.00 90.00 90.00
Closest atoms and distances in Å follow each position.
Space group F-43m (No. 216)
Asymmetric unit:
Sr: 0.0000 0.0000 0.0000 [4 per cell]  12 Mo 3.23, 4 Sc 3.37
Sc: 0.2500 0.2500 0.2500 [4 per cell]  12 Mo 3.23, 4 Sr 3.37
Mo: 0.1252 0.1252 0.6252 [16 per cell]  6 Mo 2.75-2.76

E (eV per atom): -8.1151
N(E_F) (states/eV/atom): 1.0559
E_form (eV per atom): 0.44
Calculated density (g/cm³): 7.25



Record 5
VASP calculation (PBE) on a relaxed Sm2PbC2N6 crystal.

Lattice parameters (Å, degrees): 5.1997 5.3192 6.3601 113.45 103.89 100.31
Closest atoms and distances in Å follow each position.
Space group P-1 (No. 2)
Asymmetric unit:
Sm: 0.2415 0.1071 0.3158 [2 per cell]  6 N 2.40-2.57
Pb: 0.5000 0.5000 0.0000 [1 per cell]  2 N 2.16
C: 0.0153 0.5161 0.2428 [2 per cell]  3 N 1.35-1.39
N: 0.1096 0.2667 0.6985 [2 per cell]  1 C 1.39
N: 0.1402 0.7625 0.8990 [2 per cell]  1 C 1.35
N: 0.3041 0.6070 0.3357 [2 per cell]  1 C 1.39

E (eV per atom): -7.7306
N(E_F) (states/eV/atom): 0.0239
Formation energy without anion corrections (meV/atom): -317
Calculated density (g/cm³): 6.86



Record 6
VASP calculation (PBE) on a relaxed NdGa4Ni crystal.

Lattice parameters (Å, degrees): 4.4614 4.4614 7.0035 90.00 90.00 90.00
Closest atoms and distances in Å follow each position.
Space group P4/mmm (No. 123)
Asymmetric unit:
Nd: 0.0000 0.0000 0.0000 [1 per cell]  8 Ga 3.37
Ga: 0.0000 0.5000 0.5000 [2 per cell]  2 Ni 2.23
Ga: 0.5000 0.5000 0.1697 [2 per cell]  1 Ni 2.31, 1 Ga 2.38
Ni: 0.5000 0.5000 0.5000 [1 per cell]  6 Ga 2.23-2.31

E (eV per atom): -3.8923
N(E_F) (states/eV/atom): 0.5145
E_form (eV per atom): -0.12
Calculated density (g/cm³): 5.74